Record 1
ZnCoAg2: relaxed, PBE.

Properties
Fermi-level density of states, states/eV/f.u.: 3.22
Space-group type: R3m
V, Å³/f.u.: 61
DFT total energy, eV per atom: -3.342
Magnetic moment, μB per formula unit: 1.400
ΔH_f (0 K), eV per atom: 0.178
Mass density, g/cm3: 9.22

Cell lengths 9.137, 9.137, 9.137 Å; angles 17.66, 17.66, 17.66 degrees
Fractional positions:
Ag 0.004 0.004 0.004
Ag 0.244 0.244 0.244
Co 0.496 0.496 0.496
Zn 0.756 0.756 0.756



Record 2
Cd14AgPd: relaxed, PBE.

Properties
Fermi-level density of states, states/eV/f.u.: 3.82
Space-group type: Cmmm
V, Å³/f.u.: 338
DFT total energy, eV per atom: -1.340
Magnetic moment, μB per formula unit: 0.000
ΔH_f (0 K), eV per atom: -0.036
Mass density, g/cm3: 8.78

Cell lengths 6.187, 6.187, 8.844 Å; angles 90.00, 90.00, 92.62 degrees
Fractional positions:
Cd 0.875 0.875 0.000
Cd 0.375 0.375 0.000
Cd 0.875 0.375 0.500
Cd 0.875 0.375 0.000
Cd 0.375 0.875 0.500
Cd 0.375 0.875 0.000
Cd 0.628 0.122 0.258
Cd 0.628 0.122 0.742
Cd 0.122 0.628 0.258
Cd 0.122 0.628 0.742
Cd 0.627 0.627 0.261
Cd 0.627 0.627 0.739
Cd 0.123 0.123 0.261
Cd 0.123 0.123 0.739
Ag 0.375 0.375 0.500
Pd 0.875 0.875 0.500



Record 3
SbPdI2Br: relaxed, PBE.

Properties
Formation energy from raw total energies, meV/atom: 166
Fermi-level density of states, states/eV/f.u.: 5.35
Space-group type: P4/mmm
V, Å³/f.u.: 159
DFT total energy, eV per atom: -2.652
Magnetic moment, μB per formula unit: 0.000
Energy above the lowest structure with this stoichiometry, eV/f.u.: 0.000
Mass density, g/cm3: 5.88

Cell lengths 5.447, 5.447, 5.349 Å; angles 90.00, 90.00, 90.00 degrees
Fractional positions:
I 0.000 0.500 0.000
I 0.500 0.000 0.000
Sb 0.000 0.000 0.500
Br 0.500 0.500 0.500
Pd 0.000 0.000 0.000



Record 4
LiNdSn2: relaxed, PBE.

Properties
Fermi-level density of states, states/eV/f.u.: 2.12
Space-group type: P4/mmm
V, Å³/f.u.: 97
DFT total energy, eV per atom: -4.171
Magnetic moment, μB per formula unit: 0.000
Energy above the lowest structure with this stoichiometry, eV/f.u.: 0.339
ΔH_f (0 K), eV per atom: -0.499
Mass density, g/cm3: 6.64

Cell lengths 3.623, 3.623, 7.408 Å; angles 90.00, 90.00, 90.00 degrees
Fractional positions:
Nd 0.500 0.500 0.500
Sn 0.000 0.000 0.794
Sn 0.000 0.000 0.206
Li 0.500 0.500 0.000



Record 5
Ba4SiBr4: relaxed, PBE.

Properties
Formation energy from raw total energies, meV/atom: -1601
Space-group type: C2/m
V, Å³/f.u.: 406
DFT total energy, eV per atom: -3.802
Magnetic moment, μB per formula unit: 0.000
Mass density, g/cm3: 3.67

Cell lengths 4.844, 8.560, 10.701 Å; angles 75.43, 76.92, 73.56 degrees
Fractional positions:
Ba 0.304 0.116 0.276
Ba 0.696 0.884 0.724
Ba 0.921 0.263 0.894
Ba 0.079 0.737 0.106
Si 0.500 0.000 0.000
Br 0.705 0.405 0.185
Br 0.874 0.854 0.398
Br 0.295 0.595 0.815
Br 0.126 0.146 0.602



Record 6
TmPu5Ge6: relaxed, PBE.

Properties
Fermi-level density of states, states/eV/f.u.: 29.75
Space-group type: P2/m
V, Å³/f.u.: 263
DFT total energy, eV per atom: -9.116
Magnetic moment, μB per formula unit: 5.435
ΔH_f (0 K), eV per atom: -0.463
Mass density, g/cm3: 11.51

Cell lengths 9.400, 4.630, 7.318 Å; angles 71.75, 81.13, 60.49 degrees
Fractional positions:
Tm 0.000 0.000 0.000
Pu 0.500 0.169 0.663
Pu 0.000 0.328 0.344
Pu 0.500 0.500 0.000
Pu 0.000 0.672 0.656
Pu 0.500 0.831 0.337
Ge 0.751 0.086 0.326
Ge 0.249 0.588 0.326
Ge 0.247 0.253 0.000
Ge 0.753 0.747 0.000
Ge 0.751 0.412 0.674
Ge 0.249 0.914 0.674



Record 7
CoMoAu3: relaxed, PBE.

Properties
Fermi-level density of states, states/eV/f.u.: 6.53
Space-group type: Pm-3m
V, Å³/f.u.: 106
DFT total energy, eV per atom: -4.390
Magnetic moment, μB per formula unit: 5.988
Energy above the lowest structure with this stoichiometry, eV/f.u.: 0.000
ΔH_f (0 K), eV per atom: 1.164
Mass density, g/cm3: 11.69

Cell lengths 4.732, 4.732, 4.732 Å; angles 90.00, 90.00, 90.00 degrees
Fractional positions:
Co 0.000 0.000 0.000
Mo 0.500 0.500 0.500
Au 0.000 0.500 0.000
Au 0.000 0.000 0.500
Au 0.500 0.000 0.000



Record 8
CuSiTcRh: relaxed, PBE.

Properties
Formation energy from raw total energies, meV/atom: -268
Fermi-level density of states, states/eV/f.u.: 4.11
Space-group type: F-43m
V, Å³/f.u.: 52
DFT total energy, eV per atom: -7.077
Magnetic moment, μB per formula unit: 0.000
Mass density, g/cm3: 9.32

Cell lengths 4.193, 4.193, 4.193 Å; angles 60.00, 60.00, 60.00 degrees
Fractional positions:
Si 0.000 0.000 0.000
Rh 0.250 0.250 0.250
Tc 0.750 0.750 0.750
Cu 0.500 0.500 0.500



Record 9
LaFe2As: relaxed, PBE.

Properties
Fermi-level density of states, states/eV/f.u.: 4.42
Space-group type: P4/mmm
V, Å³/f.u.: 73
DFT total energy, eV per atom: -6.523
Magnetic moment, μB per formula unit: 4.498
ΔH_f (0 K), eV per atom: 0.103
Mass density, g/cm3: 7.38

Cell lengths 3.365, 3.365, 6.465 Å; angles 90.00, 90.00, 89.93 degrees
Fractional positions:
As 0.500 0.500 0.750
Fe 0.000 0.000 0.927
Fe 0.000 0.000 0.573
La 0.500 0.500 0.250



Record 10
Lu2PuCu: relaxed, PBE.

Properties
Fermi-level density of states, states/eV/f.u.: 8.37
Space-group type: P4/mmm
V, Å³/f.u.: 97
DFT total energy, eV per atom: -6.926
Magnetic moment, μB per formula unit: 6.705
Energy above the lowest structure with this stoichiometry, eV/f.u.: 0.000
ΔH_f (0 K), eV per atom: -0.059
Mass density, g/cm3: 11.31

Cell lengths 3.376, 3.376, 8.471 Å; angles 90.00, 90.00, 90.00 degrees
Fractional positions:
Lu 0.000 0.000 0.801
Lu 0.000 0.000 0.199
Cu 0.500 0.500 0.000
Pu 0.500 0.500 0.500



Record 11
Co3AsH: relaxed, PBE.

Properties
Fermi-level density of states, states/eV/f.u.: 10.36
Space-group type: Pm-3m
V, Å³/f.u.: 87
DFT total energy, eV per atom: -4.565
Magnetic moment, μB per formula unit: 5.655
Energy above the lowest structure with this stoichiometry, eV/f.u.: 6.800
Mass density, g/cm3: 4.82

Cell lengths 4.433, 4.433, 4.433 Å; angles 90.00, 90.00, 90.00 degrees
Fractional positions:
H 0.500 0.500 0.500
As 0.000 0.000 0.000
Co 0.000 0.500 0.000
Co 0.000 0.000 0.500
Co 0.500 0.000 0.000



Record 12
Cs2GaAgI6: relaxed, PBE.

Properties
Formation energy from raw total energies, meV/atom: -799
Fermi-level density of states, states/eV/f.u.: 5.57
Space-group type: Fm-3m
V, Å³/f.u.: 409
DFT total energy, eV per atom: -2.488
Magnetic moment, μB per formula unit: 0.000
Mass density, g/cm3: 4.89

Cell lengths 8.334, 8.334, 8.334 Å; angles 60.00, 60.00, 60.00 degrees
Fractional positions:
Cs 0.750 0.750 0.750
Cs 0.250 0.250 0.250
I 0.756 0.244 0.244
I 0.244 0.244 0.756
I 0.244 0.756 0.756
I 0.244 0.756 0.244
I 0.756 0.244 0.756
I 0.756 0.756 0.244
Ag 0.500 0.500 0.500
Ga 0.000 0.000 0.000